[1]
In5Sn3Pb12 PBE relaxed; DOS at the Fermi energy = 59.4 states/eV/cell
1.0
15.681 0.000 0.000
-5.227 14.785 0.000
-5.227 -7.392 12.804
Sn In Pb
12 20 48
Cartesian
9.147 4.620 1.600
9.147 10.164 1.600
-1.307 6.468 8.002
1.307 -0.924 4.801
11.761 0.000 3.201
1.307 7.392 3.201
3.920 0.000 9.603
-6.534 7.392 9.603
3.920 8.316 8.002
6.534 0.924 4.801
-3.920 -2.772 11.203
-3.920 2.772 11.203
-1.307 3.696 3.201
-2.614 7.392 0.000
0.000 0.000 0.000
3.920 2.772 1.600
5.227 -3.696 6.402
5.227 7.392 0.000
-3.920 8.316 4.801
6.534 -4.620 11.203
6.534 6.468 4.801
1.307 -3.696 9.603
3.920 11.088 3.201
2.614 3.696 6.402
7.841 0.000 0.000
-2.614 -3.696 6.402
-1.307 0.924 8.002
-1.307 12.012 1.600
-5.227 3.696 6.402
9.147 -0.924 8.002
1.307 4.620 11.203
6.534 3.696 9.603
10.383 1.547 0.862
0.071 5.216 5.493
11.327 3.357 3.448
6.968 2.388 1.771
2.003 5.899 8.493
10.787 7.234 2.091
-0.873 8.361 5.219
-4.354 12.396 1.771
0.611 8.885 8.493
7.508 7.551 2.091
7.912 3.723 4.631
7.912 13.238 0.862
-4.616 6.609 7.264
2.946 5.660 1.183
-5.298 11.062 4.631
2.685 -2.176 7.310
-0.611 0.710 2.954
2.946 9.283 0.908
6.968 11.428 3.448
-0.333 5.502 0.908
-3.224 8.102 9.850
3.486 6.424 5.219
7.230 8.176 7.264
5.560 -1.732 11.621
1.741 0.968 7.585
-2.003 -0.783 5.540
-0.333 9.124 1.183
-1.741 -4.036 9.356
8.452 -0.710 2.954
5.560 1.890 11.895
2.281 -1.890 11.895
2.543 9.568 5.493
5.838 6.683 9.850
10.525 -3.669 8.173
9.843 0.783 5.540
-2.685 -5.845 11.941
2.281 1.732 11.621
4.616 -1.493 4.311
-2.281 -0.158 10.712
-2.685 3.669 8.173
9.582 -5.004 11.033
6.100 -0.968 7.585
-1.741 5.004 11.033
-5.560 0.158 10.712
3.224 1.493 4.311
-6.100 4.036 9.356
5.156 2.176 7.310
-5.156 5.845 11.941


[2]
In15Sn4Pb PBE relaxed; DOS at the Fermi energy = 5.4 states/eV/cell
1.0
5.040 0.000 0.000
0.000 5.040 0.000
0.000 0.000 21.691
In Sn Pb
15 4 1
Cartesian
2.520 2.520 0.000
2.520 2.520 4.387
2.520 2.520 8.694
2.520 2.520 12.997
2.520 2.520 17.304
2.520 0.000 2.239
2.520 0.000 6.539
2.520 0.000 10.845
2.520 0.000 15.152
2.520 0.000 19.452
0.000 2.520 2.239
0.000 2.520 6.539
0.000 2.520 10.845
0.000 2.520 15.152
0.000 2.520 19.452
0.000 0.000 4.377
0.000 0.000 8.692
0.000 0.000 12.999
0.000 0.000 17.314
0.000 0.000 0.000


We obtain theoretical density values of 7.64 7.25 g/cm3 for the records listed above, in that order.
We obtain calculated total energy values of -3.281 -3.029 eV per atom for the records listed above, in that order.
We obtain ΔH_f (0 K) values of 0.23 0.01 eV per atom for the records listed above, in that order.